12
Lattice="9.3640 -2.1383 0.0000 9.3640 2.1383 0.0000 -2.0528 0.0000 8.3632" Properties=species:S:1:pos:R:3 comment="PBE Cs3K2RbH6, relaxed" final_energy_ev_per_atom=-2.325 vol_a3_per_fu=334.9 spacegroup="No. 12" magnetic_moment_mub_per_atom=0.00 rho_g_cm3=2.818 pbc="T T T"
Cs 0.0000 0.0000 0.0000
Cs 4.8692 0.0000 5.5890
Cs 11.8061 0.0000 2.7741
K 5.8768 0.0000 1.3666
K 10.7985 0.0000 6.9966
Rb -1.0264 0.0000 4.1816
H 1.8524 0.0000 5.0173
H 3.0937 0.0000 0.5783
H 8.7096 0.0000 2.1347
H 7.9657 0.0000 6.2284
H 13.5816 0.0000 7.7849
H 14.8229 0.0000 3.3459



16
Lattice="2.1039 -7.8220 0.0000 2.1039 7.8220 0.0000 0.0000 0.0000 13.9156" Properties=species:S:1:pos:R:3 comment="PBE Cs2KRbH4, relaxed" final_energy_ev_per_atom=-2.275 vol_a3_per_fu=229.0 spacegroup="No. 63" magnetic_moment_mub_per_atom=0.00 rho_g_cm3=2.860 pbc="T T T"
Cs 2.1039 5.8127 7.1987
Cs 2.1039 5.8127 13.6746
Cs 2.1039 -5.8127 0.2409
Cs 2.1039 -5.8127 6.7168
K 2.1039 0.7146 10.4367
K 2.1039 -0.7146 3.4789
Rb 2.1039 3.5019 3.4789
Rb 2.1039 -3.5019 10.4367
H 2.1039 6.7404 10.4367
H 2.1039 3.0841 8.7695
H 2.1039 3.0841 12.1039
H 2.1039 0.0000 0.0000
H 2.1039 0.0000 6.9578
H 2.1039 -3.0841 1.8117
H 2.1039 -3.0841 5.1461
H 2.1039 -6.7404 3.4789



8
Lattice="0.0000 5.9454 4.2144 4.2143 0.0000 4.2144 4.2143 5.9454 0.0000" Properties=species:S:1:pos:R:3 comment="PBE CsK2RbH4, relaxed" final_energy_ev_per_atom=-2.346 vol_a3_per_fu=211.2 spacegroup="No. 42" magnetic_moment_mub_per_atom=0.00 rho_g_cm3=2.364 pbc="T T T"
Cs 0.0000 0.0000 0.0000
K 2.1071 2.9727 2.1192
K 6.3214 8.9181 6.3336
Rb 4.2143 5.9454 4.2188
H 6.3179 5.9454 2.1095
H 4.2143 3.0748 4.2274
H 2.1107 5.9454 2.1095
H 4.2143 8.8160 4.2274



12
Lattice="9.1842 -2.0987 0.0000 9.1842 2.0987 0.0000 -1.9210 0.0000 8.2101" Properties=species:S:1:pos:R:3 comment="PBE CsK2Rb3H6, relaxed" final_energy_ev_per_atom=-2.348 vol_a3_per_fu=316.5 spacegroup="No. 12" magnetic_moment_mub_per_atom=0.00 rho_g_cm3=2.485 pbc="T T T"
Cs 0.0000 0.0000 0.0000
K 4.8040 0.0000 5.4190
K 11.6435 0.0000 2.7910
Rb -0.9605 0.0000 4.1050
Rb 5.7695 0.0000 1.3983
Rb 10.6780 0.0000 6.8118
H 2.0245 0.0000 4.7286
H 2.9671 0.0000 0.7835
H 7.7052 0.0000 6.0351
H 8.7423 0.0000 2.1750
H 13.4803 0.0000 7.4265
H 14.4229 0.0000 3.4815



10
Lattice="10.7802 0.0000 0.0000 -5.3523 9.3586 0.0000 -5.3729 -3.0790 8.8678" Properties=species:S:1:pos:R:3 comment="PBE Cs6KRb2H, relaxed" final_energy_ev_per_atom=-1.112 vol_a3_per_fu=894.7 spacegroup="No. 1" magnetic_moment_mub_per_atom=0.00 rho_g_cm3=1.872 pbc="T T T"
Cs 0.0000 0.0000 0.0000
Cs -5.3635 2.3043 5.0461
Cs -3.0142 -1.7304 5.0690
Cs 2.3474 4.0583 0.0171
Cs 3.0700 -1.7430 5.0401
Cs 3.0598 0.9623 8.8465
K -5.3499 5.8344 2.5300
Rb 0.0179 2.7558 4.7094
Rb 0.0374 8.9163 0.3412
H -5.3654 -0.3866 6.9554



16
Lattice="2.1591 -7.3129 0.0000 2.1591 7.3129 0.0000 0.0000 0.0000 14.4187" Properties=species:S:1:pos:R:3 comment="PBE CsKRb2H4, relaxed" final_energy_ev_per_atom=-2.298 vol_a3_per_fu=227.7 spacegroup="No. 63" magnetic_moment_mub_per_atom=0.01 rho_g_cm3=2.531 pbc="T T T"
Cs 2.1591 5.2160 10.8140
Cs 2.1591 -5.2160 3.6047
K 2.1591 5.6373 3.6047
K 2.1591 -5.6373 10.8140
Rb 2.1591 1.8887 7.5948
Rb 2.1591 1.8887 14.0333
Rb 2.1591 -1.8887 0.3854
Rb 2.1591 -1.8887 6.8239
H 0.0000 0.0000 0.0000
H 0.0000 0.0000 7.2094
H 2.1591 3.7517 1.7617
H 2.1591 3.7517 5.4476
H 2.1591 0.2661 10.8140
H 2.1591 -0.2661 3.6047
H 2.1591 -3.7517 8.9711
H 2.1591 -3.7517 12.6570



10
Lattice="10.0582 0.0000 0.0000 -0.0402 10.0628 0.0000 -4.9789 -5.0046 7.1875" Properties=species:S:1:pos:R:3 comment="PBE CsK6Rb2H, relaxed" final_energy_ev_per_atom=-1.195 vol_a3_per_fu=727.5 spacegroup="No. 1" magnetic_moment_mub_per_atom=0.00 rho_g_cm3=1.231 pbc="T T T"
Cs 0.0000 0.0000 0.0000
K -2.0330 2.0683 7.1818
K 0.0226 0.0115 4.2568
K 2.9692 2.9841 0.0318
K 2.0620 2.0657 7.1693
K 4.9995 5.0326 2.9354
K 7.0580 2.9761 0.0066
Rb -0.0355 5.0534 3.5983
Rb 5.0534 -0.0157 3.5968
H 5.0038 5.0271 0.0025



16
Lattice="4.3340 2.5022 7.1279 -4.3340 2.5022 7.1279 0.0000 -5.0045 7.1279" Properties=species:S:1:pos:R:3 comment="PBE Cs4KRb3H8, relaxed" final_energy_ev_per_atom=-2.308 vol_a3_per_fu=463.8 spacegroup="No. 166" magnetic_moment_mub_per_atom=0.00 rho_g_cm3=2.990 pbc="T T T"
Cs 0.0000 0.0000 0.0000
Cs -2.1670 -1.2511 7.1279
Cs -2.1670 1.2511 14.2557
Cs 0.0000 2.5022 7.1279
K 0.0000 0.0000 10.6918
Rb -4.3340 0.0000 10.6918
Rb -2.1670 1.2511 3.5639
Rb 2.1670 1.2511 3.5639
H 0.0000 0.0000 5.2406
H -2.1339 -1.2320 12.3430
H 0.0000 -2.4640 9.0407
H -2.1339 1.2320 9.0407
H 2.1339 -1.2320 12.3430
H 0.0000 2.4640 12.3430
H 2.1339 1.2320 9.0406
H 0.0000 0.0000 16.1430



12
Lattice="9.1882 -2.0934 0.0000 9.1882 2.0934 0.0000 -1.9973 0.0000 8.1961" Properties=species:S:1:pos:R:3 comment="PBE Cs2K3RbH6, relaxed" final_energy_ev_per_atom=-2.351 vol_a3_per_fu=315.3 spacegroup="No. 12" magnetic_moment_mub_per_atom=0.00 rho_g_cm3=2.500 pbc="T T T"
Cs 2.4110 0.0000 2.7224
Cs 13.9681 0.0000 5.4738
K 1.3523 0.0000 6.8474
K 8.1896 0.0000 4.0981
K 15.0268 0.0000 1.3487
Rb 9.1882 0.0000 0.0000
H -1.4061 0.0000 6.1254
H 4.2255 0.0000 7.6589
H 5.4719 0.0000 3.2824
H 10.9072 0.0000 4.9138
H 12.1536 0.0000 0.5372
H 17.7852 0.0000 2.0707



9
Lattice="-3.6517 3.6517 4.4535 3.6517 -3.6517 4.4535 3.6517 3.6517 -4.4535" Properties=species:S:1:pos:R:3 comment="PBE Cs2K2H4Rh, relaxed" final_energy_ev_per_atom=-2.745 vol_a3_per_fu=237.5 spacegroup="No. 139" magnetic_moment_mub_per_atom=0.00 rho_g_cm3=3.152 pbc="T T T"
Cs 3.6517 0.0000 2.2267
Cs 0.0000 3.6517 2.2267
K 0.0000 0.0000 1.6584
K 0.0000 0.0000 7.2485
H 2.4304 2.4304 0.0000
H 4.8729 2.4304 0.0000
H -1.2213 1.2213 4.4535
H 1.2213 1.2213 4.4535
Rh 0.0000 0.0000 4.4535



10
Lattice="0.0000 4.4288 4.4288 4.4288 0.0000 4.4288 4.4288 4.4288 0.0000" Properties=species:S:1:pos:R:3 comment="PBE Cs2KH6Rh, relaxed" final_energy_ev_per_atom=-3.336 vol_a3_per_fu=173.7 spacegroup="No. 225" magnetic_moment_mub_per_atom=0.02 rho_g_cm3=3.956 pbc="T T T"
Cs 2.2144 2.2144 2.2144
Cs 6.6432 6.6432 6.6432
K 0.0000 0.0000 0.0000
H 4.4288 4.4288 2.7359
H 4.4288 2.7359 4.4288
H 6.1217 4.4288 4.4288
H 2.7359 4.4288 4.4288
H 4.4288 6.1217 4.4288
H 4.4288 4.4288 6.1217
Rh 4.4288 4.4288 4.4288



10
Lattice="6.3935 0.0000 0.0000 -3.1967 5.5369 0.0000 0.0000 0.0000 6.5161" Properties=species:S:1:pos:R:3 comment="PBE Cs2KH6Ru, relaxed" final_energy_ev_per_atom=-3.350 vol_a3_per_fu=230.7 spacegroup="No. 164" magnetic_moment_mub_per_atom=0.10 rho_g_cm3=2.966 pbc="T T T"
Cs 0.0000 3.6913 0.9930
Cs 3.1968 1.8456 5.5231
K 0.0000 0.0000 3.2580
H 0.0000 1.4216 5.5081
H -1.9656 4.8261 5.5081
H 1.2311 0.7108 1.0080
H 1.9656 4.8261 5.5081
H 5.1624 0.7108 1.0080
H 3.1967 4.1153 1.0080
Ru 0.0000 0.0000 0.0000